Entry 1:
Material: RbCoIr3
Method: DFT, PBE
State: relaxed

Lattice parameters (Å, degrees): 4.6370 4.6370 4.6370 90.00 90.00 90.00
With the nearest neighbours (Å) after each atom.
Element x y z (fractional)
Rb: 0.5000 0.5000 0.5000  12 Ir 3.28
Co: 0.0000 0.0000 0.0000  6 Ir 2.32
Ir: 0.0000 0.5000 0.0000  2 Co 2.32
Ir: 0.5000 0.0000 0.0000  2 Co 2.32
Ir: 0.0000 0.0000 0.5000  2 Co 2.32

Excess energy over the best structure of this formula in the dataset = 0 meV/atom
Energy of formation = 1.52 eV/atom
Fermi-level density of states = 3.147 states/eV/atom



Entry 2:
Material: Y2SbAs
Method: DFT, PBE
State: relaxed

Lattice parameters (Å, degrees): 4.5332 5.8420 3.9196 90.00 90.00 90.00
With the nearest neighbours (Å) after each atom.
Element x y z (fractional)
Sb: 0.0000 0.5000 0.5000  4 Y 3.00
Y: 0.5000 0.5000 0.0000  4 Sb 3.00
Y: 0.0000 0.0000 0.0000  4 As 3.00
As: 0.5000 0.0000 0.5000  4 Y 3.00

Uncorrected formation energy = -972 meV per atom
Fermi-level density of states = 0.371 states/eV/atom



Entry 3:
Material: UMnNi2H8
Method: DFT, PBE
State: relaxed

Lattice parameters (Å, degrees): 4.4356 4.4356 6.5970 90.00 90.00 120.00
With the nearest neighbours (Å) after each atom.
Element x y z (fractional)
H: 0.2966 0.1483 0.2017  1 Ni 1.59, 1 Mn 1.75
H: 0.1483 0.8517 0.7983  1 Ni 1.59, 1 Mn 1.75
H: 0.6667 0.3333 0.5478  1 Ni 1.57
H: 0.1483 0.2966 0.7983  1 Ni 1.59, 1 Mn 1.75
H: 0.3333 0.6667 0.4522  1 Ni 1.57
H: 0.7034 0.8517 0.7983  1 Ni 1.59, 1 Mn 1.75
Ni: 0.6667 0.3333 0.3098  4 H 1.57-1.59
H: 0.8517 0.7034 0.2017  1 Ni 1.59, 1 Mn 1.75
H: 0.8517 0.1483 0.2017  1 Ni 1.59, 1 Mn 1.75
Ni: 0.3333 0.6667 0.6902  4 H 1.57-1.59
Mn: 0.0000 0.0000 0.0000  6 H 1.75
U: 0.0000 0.0000 0.5000  6 H 2.27

E_tot = -58.2 eV/cell
Fermi-level density of states = 0.554 states/eV/atom



Entry 4:
Material: Na2CdInO4
Method: DFT, PBE
State: relaxed

Lattice parameters (Å, degrees): 3.3168 5.7440 5.8675 109.02 90.00 90.00
With the nearest neighbours (Å) after each atom.
Element x y z (fractional)
Cd: 0.0000 0.0000 0.0000  6 O 2.30-2.31
O: 0.5000 0.2522 0.2216  1 In 2.22, 2 Cd 2.30, 2 Na 2.44
O: 0.5000 0.7478 0.7784  1 In 2.22, 2 Cd 2.30, 2 Na 2.44
O: 0.0000 0.7303 0.2177  2 In 2.24, 1 Cd 2.31, 3 Na 2.43-2.49
In: 0.5000 0.5000 0.0000  6 O 2.22-2.24
Na: 0.0000 0.5000 0.5000  6 O 2.43-2.44
O: 0.0000 0.2697 0.7823  2 In 2.24, 1 Cd 2.31, 3 Na 2.43-2.49
Na: 0.5000 0.0000 0.5000  6 O 2.49-2.51

Uncorrected formation energy = -1300 meV per atom
Fermi-level density of states = 0.360 states/eV/atom



Entry 5:
Material: DyEr3Mg6
Method: DFT, PBE
State: relaxed

Lattice parameters (Å, degrees): 5.2476 9.2154 11.1908 105.61 90.00 90.00
With the nearest neighbours (Å) after each atom.
Element x y z (fractional)
Mg: 0.2500 0.4433 0.1010  1 Mg 3.19, 7 Er 3.20-3.28
Mg: 0.2500 0.1462 0.1949  8 Mg 3.17-3.21
Dy: 0.2500 0.9491 0.6007  8 Mg 3.19-3.28
Mg: 0.7500 0.9530 0.0996  3 Mg 3.17-3.19, 1 Dy 3.23, 4 Er 3.24-3.31
Er: 0.2500 0.7482 0.0037  8 Mg 3.19-3.28
Mg: 0.2500 0.6582 0.7056  1 Dy 3.20, 2 Mg 3.21, 5 Er 3.21-3.32
Dy: 0.7500 0.0509 0.3993  8 Mg 3.19-3.28
Mg: 0.7500 0.5567 0.8990  1 Mg 3.19, 7 Er 3.20-3.28
Mg: 0.7500 0.1447 0.7005  4 Er 3.19-3.32, 1 Mg 3.20, 3 Dy 3.21-3.25
Mg: 0.2500 0.0470 0.9004  3 Mg 3.17-3.19, 1 Dy 3.23, 4 Er 3.24-3.31
Er: 0.2500 0.5454 0.3976  8 Mg 3.20-3.32
Er: 0.7500 0.4546 0.6024  8 Mg 3.20-3.32
Mg: 0.2500 0.8553 0.2995  4 Er 3.19-3.32, 1 Mg 3.20, 3 Dy 3.21-3.25
Mg: 0.7500 0.8538 0.8051  8 Mg 3.17-3.21
Er: 0.7500 0.6486 0.2031  8 Mg 3.25-3.31
Mg: 0.7500 0.7547 0.5083  3 Dy 3.19-3.28, 1 Mg 3.20, 4 Er 3.21-3.29
Er: 0.2500 0.3514 0.7969  8 Mg 3.25-3.31
Mg: 0.2500 0.2453 0.4917  3 Dy 3.19-3.28, 1 Mg 3.20, 4 Er 3.21-3.29
Mg: 0.7500 0.3418 0.2944  1 Dy 3.20, 2 Mg 3.21, 5 Er 3.21-3.32
Er: 0.7500 0.2518 0.9963  8 Mg 3.19-3.28

Excess energy over the best structure of this formula in the dataset = 0 meV/atom
Energy of formation = -0.06 eV/atom
Fermi-level density of states = 0.963 states/eV/atom



Entry 6:
Material: BaTbGa2
Method: DFT, PBE
State: relaxed

Lattice parameters (Å, degrees): 3.8158 3.8158 7.7235 90.00 90.00 90.00
With the nearest neighbours (Å) after each atom.
Element x y z (fractional)
Ga: 0.0000 0.0000 0.8027  1 Ga 3.05, 4 Tb 3.10
Tb: 0.5000 0.5000 0.0000  8 Ga 3.10
Ba: 0.5000 0.5000 0.5000  8 Ga 3.57, 4 Ba 3.82, 2 Tb 3.86
Ga: 0.0000 0.0000 0.1973  1 Ga 3.05, 4 Tb 3.10

Excess energy over the best structure of this formula in the dataset = 0 meV/atom
Energy of formation = -0.45 eV/atom
Fermi-level density of states = 0.485 states/eV/atom